First-principles (PBE) data for a geometry-optimized RbZr3Se structure, as listed in the Alexandria database.

Cell lengths 5.0775, 5.0775, 5.0775 Å; angles 90.00, 90.00, 90.00 degrees
Fractional coordinates of all 5 atoms:
Zr 0.0000 0.5000 0.0000
Zr 0.5000 0.0000 0.0000
Rb 0.0000 0.0000 0.0000
Zr 0.0000 0.0000 0.5000
Se 0.5000 0.5000 0.5000

Calculated values
**Electronic total energy**: -4.013 eV/atom
**Spin magnetization**: 1.62 Bohr magnetons per cell
**ΔE_f (raw)**: 2006 meV per atom
**Space-group type**: Pm-3m, No. 221

First-principles (PBE) data for a geometry-optimized RbZrSe3 structure, as listed in the Alexandria database.

Cell lengths 5.1147, 8.5007, 9.1716 Å; angles 102.15, 89.99, 107.51 degrees
Fractional coordinates of all 10 atoms:
Se 0.0039 0.0080 0.1320
Se 0.8489 0.6972 0.3871
Se 0.9961 0.9920 0.8680
Se 0.6703 0.3410 0.9855
Se 0.1511 0.3028 0.6129
Rb 0.6221 0.2445 0.3505
Se 0.3297 0.6590 0.0145
Rb 0.3779 0.7555 0.6495
Zr 0.8384 0.6763 0.1185
Zr 0.1616 0.3237 0.8815

Calculated values
**Electronic total energy**: -5.136 eV/atom
**Spin magnetization**: 0.00 Bohr magnetons per cell
**ΔE_f (raw)**: -1142 meV per atom
**Space-group type**: C2/m, No. 12

First-principles (PBE) data for a geometry-optimized RbZrSe2 structure, as listed in the Alexandria database.

Cell lengths 3.8221, 7.0291, 9.3865 Å; angles 98.60, 90.00, 90.00 degrees
Fractional coordinates of all 8 atoms:
Rb 0.7500 0.2241 0.3623
Se 0.2500 0.2795 0.6724
Se 0.7500 0.7431 0.9378
Se 0.7500 0.7205 0.3276
Zr 0.7500 0.3596 0.8784
Rb 0.2500 0.7759 0.6377
Se 0.2500 0.2569 0.0622
Zr 0.2500 0.6404 0.1216

Calculated values
**Electronic total energy**: -5.383 eV/atom
**Spin magnetization**: 1.53 Bohr magnetons per cell
**ΔE_f (raw)**: -1262 meV per atom
**Space-group type**: P2_1/m, No. 11

First-principles (PBE) data for a geometry-optimized RbZrSe2 structure, as listed in the Alexandria database.

Cell lengths 5.1467, 5.1467, 5.1467 Å; angles 60.00, 60.00, 60.00 degrees
Fractional coordinates of all 4 atoms:
Zr 0.5000 0.5000 0.5000
Se 0.7500 0.7500 0.7500
Rb 0.0000 0.0000 0.0000
Se 0.2500 0.2500 0.2500

Calculated values
**Electronic total energy**: -4.716 eV/atom
**Spin magnetization**: 1.00 Bohr magnetons per cell
**ΔE_f (raw)**: -595 meV per atom
**Space-group type**: Fm-3m, No. 225

First-principles (PBE) data for a geometry-optimized Rb2Zr3Se6 structure, as listed in the Alexandria database.

Cell lengths 6.6617, 6.6620, 8.6439 Å; angles 82.61, 75.09, 60.00 degrees
Fractional coordinates of all 11 atoms:
Zr 0.3326 0.3348 0.0000
Se 0.2720 0.0000 0.1928
Se 0.0675 0.3303 0.8068
Se 0.7280 0.0000 0.8072
Rb 0.8334 0.3332 0.5000
Se 0.3978 0.6697 0.8068
Se 0.9325 0.6697 0.1932
Rb 0.1666 0.6668 0.5000
Zr 0.6674 0.6652 0.0000
Se 0.6022 0.3303 0.1932
Zr 0.0000 0.0000 0.0000

Calculated values
**Electronic total energy**: -5.792 eV/atom
**Spin magnetization**: 0.00 Bohr magnetons per cell
**ΔE_f (raw)**: -1385 meV per atom
**Space-group type**: C2/m, No. 12

First-principles (PBE) data for a geometry-optimized RbZrSe2 structure, as listed in the Alexandria database.

Cell lengths 3.9204, 3.9204, 8.5272 Å; angles 76.71, 76.71, 60.00 degrees
Fractional coordinates of all 4 atoms:
Zr 0.6675 0.6675 0.9975
Rb 0.4981 0.4981 0.5058
Se 0.0654 0.0654 0.8037
Se 0.2690 0.2690 0.1930

Calculated values
**Electronic total energy**: -5.412 eV/atom
**Spin magnetization**: 0.00 Bohr magnetons per cell
**ΔE_f (raw)**: -1291 meV per atom
**Space-group type**: R3m, No. 160

First-principles (PBE) data for a geometry-optimized RbZrSe3 structure, as listed in the Alexandria database.

Cell lengths 3.9546, 9.1179, 10.2345 Å; angles 117.95, 90.00, 102.52 degrees
Fractional coordinates of all 10 atoms:
Zr 0.1887 0.3775 0.8093
Rb 0.6052 0.2105 0.2795
Se 0.6474 0.2949 0.9582
Se 0.2801 0.5602 0.3327
Rb 0.3948 0.7895 0.7205
Se 0.3526 0.7051 0.0418
Zr 0.8113 0.6225 0.1907
Se 0.9826 0.9651 0.3726
Se 0.7199 0.4398 0.6673
Se 0.0174 0.0349 0.6274

Calculated values
**Electronic total energy**: -5.161 eV/atom
**Spin magnetization**: 0.00 Bohr magnetons per cell
**ΔE_f (raw)**: -1167 meV per atom
**Space-group type**: C2/m, No. 12

First-principles (PBE) data for a geometry-optimized RbZrSe3 structure, as listed in the Alexandria database.

Cell lengths 5.4593, 5.4593, 5.4593 Å; angles 90.00, 90.00, 90.00 degrees
Fractional coordinates of all 5 atoms:
Zr 0.5000 0.5000 0.5000
Se 0.0000 0.0000 0.5000
Se 0.0000 0.5000 0.0000
Rb 0.0000 0.0000 0.0000
Se 0.5000 0.0000 0.0000

Calculated values
**Electronic total energy**: -2.867 eV/atom
**Spin magnetization**: 0.00 Bohr magnetons per cell
**ΔE_f (raw)**: 1126 meV per atom
**Space-group type**: Pm-3m, No. 221

First-principles (PBE) data for a geometry-optimized RbSi23 structure, as listed in the Alexandria database.

Cell lengths 10.2753, 10.2753, 10.2753 Å; angles 90.00, 90.00, 90.00 degrees
Fractional coordinates of all 48 atoms:
Si 0.6848 0.6848 0.6848
Si 0.1173 0.0000 0.6906
Si 0.1848 0.8152 0.8152
Si 0.8152 0.8152 0.1848
Si 0.8152 0.8152 0.8152
Si 0.6173 0.1906 0.5000
Rb 0.5000 0.5000 0.5000
Si 0.6906 0.1173 0.0000
Si 0.8827 0.0000 0.6906
Si 0.6173 0.8094 0.5000
Si 0.0000 0.3094 0.1173
Si 0.6848 0.3152 0.3152
Si 0.3827 0.8094 0.5000
Si 0.5000 0.3827 0.8094
Si 0.1848 0.1848 0.8152
Si 0.5000 0.6173 0.1906
Si 0.5000 0.6173 0.8094
Si 0.1848 0.1848 0.1848
Si 0.5000 0.7500 0.0000
Rb 0.0000 0.0000 0.0000
Si 0.5000 0.2500 0.0000
Si 0.1173 0.0000 0.3094
Si 0.0000 0.6906 0.1173
Si 0.0000 0.6906 0.8827
Si 0.6848 0.6848 0.3152
Si 0.8152 0.1848 0.8152
Si 0.3094 0.1173 0.0000
Si 0.1906 0.5000 0.6173
Si 0.3152 0.3152 0.3152
Si 0.3827 0.1906 0.5000
Si 0.0000 0.3094 0.8827
Si 0.6848 0.3152 0.6848
Si 0.3152 0.6848 0.6848
Si 0.3152 0.6848 0.3152
Si 0.1906 0.5000 0.3827
Si 0.8094 0.5000 0.6173
Si 0.8094 0.5000 0.3827
Si 0.7500 0.0000 0.5000
Si 0.5000 0.3827 0.1906
Si 0.8152 0.1848 0.1848
Si 0.0000 0.5000 0.2500
Si 0.1848 0.8152 0.1848
Si 0.8827 0.0000 0.3094
Si 0.3152 0.3152 0.6848
Si 0.3094 0.8827 0.0000
Si 0.6906 0.8827 0.0000
Si 0.2500 0.0000 0.5000
Si 0.0000 0.5000 0.7500

Calculated values
**Electronic total energy**: -5.170 eV/atom
**Spin magnetization**: 0.00 Bohr magnetons per cell
**ΔE_f (raw)**: 67 meV per atom
**Space-group type**: Pm-3n, No. 223

First-principles (PBE) data for a geometry-optimized Rb4Si structure, as listed in the Alexandria database.

Cell lengths 7.0698, 7.0698, 7.0698 Å; angles 90.00, 90.00, 90.00 degrees
Fractional coordinates of all 5 atoms:
Rb 0.0000 0.5000 0.5000
Rb 0.5000 0.0000 0.5000
Si 0.5000 0.5000 0.5000
Rb 0.5000 0.5000 0.0000
Rb 0.0000 0.0000 0.0000

Calculated values
**Electronic total energy**: -1.565 eV/atom
**Spin magnetization**: 1.53 Bohr magnetons per cell
**ΔE_f (raw)**: 294 meV per atom
**Space-group type**: Pm-3m, No. 221